[1]
Below is a relaxed structure of Pr2ZnHg3, with properties calculated at the PBE level.

The calculation puts the total energy at -28.55 eV/cell. Its calculated volume is 25.3 A^3/atom. As for the formation energy: -0.4230 eV/atom. As for the total magnetization: 0.0 μB/f.u.

a = 6.099 Å, b = 6.099 Å, c = 9.867 Å
α = 113.64°, β = 113.64°, γ = 72.70°
Fractional positions:
Hg 0.655 0.655 0.828
Hg 0.172 0.172 0.344
Hg 0.828 0.828 0.656
Hg 0.173 0.173 0.828
Hg 0.345 0.345 0.172
Hg 0.827 0.827 0.172
Pr 0.755 0.245 0.000
Pr 0.245 0.755 0.000
Pr 0.250 0.750 0.500
Pr 0.750 0.250 0.500
Zn 0.667 0.667 0.334
Zn 0.333 0.333 0.666

[2]
Below is a relaxed structure of HfScTaOs2, with properties calculated at the PBE level.

The calculation puts the total energy at -44.65 eV/cell. Its calculated volume is 21.4 A^3/atom. As for the formation energy: 1.1890 eV/atom. As for the total magnetization: 0.0 μB/f.u.

a = 4.779 Å, b = 4.690 Å, c = 4.779 Å
α = 90.00°, β = 90.00°, γ = 90.00°
Fractional positions:
Os 0.000 0.000 0.500
Os 0.500 0.000 0.000
Sc 0.000 0.500 0.000
Hf 0.500 0.500 0.500
Ta 0.000 0.000 0.000

[3]
Below is a relaxed structure of Ta2TiRh3, with properties calculated at the PBE level.

The calculation puts the total energy at -114.03 eV/cell. Its calculated volume is 15.6 A^3/atom. As for the formation energy: -0.5603 eV/atom. As for the total magnetization: 0.0 μB/f.u.

a = 4.100 Å, b = 6.456 Å, c = 7.472 Å
α = 90.00°, β = 90.00°, γ = 71.50°
Fractional positions:
Ta 0.666 0.667 0.500
Ta 0.334 0.333 0.500
Ta 0.000 0.000 0.500
Ta 0.000 0.000 0.000
Rh 0.167 0.666 0.762
Rh 0.833 0.334 0.238
Rh 0.833 0.334 0.762
Rh 0.167 0.666 0.238
Rh 0.500 0.000 0.761
Rh 0.500 0.000 0.239
Ti 0.331 0.338 0.000
Ti 0.669 0.662 0.000

[4]
Below is a relaxed structure of CsLa2USe5, with properties calculated at the PBE level.

The calculation puts the total energy at -53.88 eV/cell. Its formation energy without anion corrections is -1.61 eV per atom. Its calculated volume is 33.8 A^3/atom. As for the total magnetization: 2.9 μB/f.u.

a = 5.343 Å, b = 7.726 Å, c = 8.732 Å
α = 116.26°, β = 107.81°, γ = 90.00°
Site moments in Bohr magnetons follow the coordinates.
Fractional positions:
Se 0.651 0.918 0.303  -0.02
Se 0.349 0.615 0.697  -0.02
Se 0.651 0.385 0.303  -0.02
Se 0.000 0.000 0.000  -0.04
Se 0.349 0.082 0.697  -0.02
La 0.205 0.205 0.409  0.08
La 0.795 0.795 0.591  0.08
U 0.500 0.000 0.000  2.42
Cs 0.000 0.500 0.000  0.00